Arrangement one

4
Lattice="3.567 0.000 0.000 0.000 5.645 0.000 -1.783 0.000 6.641" Properties=species:S:1:pos:R:3 comment="TbNd2Ho GGA-PBE optimized geometry" sg=Amm2 magnetic_moment_mub_per_fu=0.0 pbc="T T T"
Tb 0.000 0.000 5.912
Nd 0.000 2.823 0.832
Nd 0.000 0.000 2.496
Ho 1.783 2.823 4.041

Arrangement two

4
Lattice="3.617 0.000 0.000 0.000 3.617 0.000 0.000 0.000 10.187" Properties=species:S:1:pos:R:3 comment="TbNd2Ho GGA-PBE optimized geometry" sg=P4/mmm magnetic_moment_mub_per_fu=0.0 pbc="T T T"
Nd 0.000 0.000 7.652
Nd 0.000 0.000 2.534
Tb 1.808 1.808 5.093
Ho 1.808 1.808 0.000

Computed stability ranking, most favorable first: arrangement two, arrangement one

Arrangement one

4
Lattice="3.620 0.000 -0.968 -0.582 5.508 -2.176 -0.080 -0.477 6.952" Properties=species:S:1:pos:R:3 comment="TbNd2Ho GGA-PBE optimized geometry" sg=Imm2 magnetic_moment_mub_per_fu=0.0 pbc="T T T"
Tb 0.406 3.858 1.519
Nd 2.942 5.007 3.749
Nd 2.554 1.178 2.300
Ho 1.531 2.774 -1.525

Arrangement two

4
Lattice="-3.108 0.702 1.710 -2.441 -2.627 0.466 3.137 -3.462 10.946" Properties=species:S:1:pos:R:3 comment="TbNd2Ho GGA-PBE optimized geometry" sg=R-3m magnetic_moment_mub_per_fu=0.0 pbc="T T T"
Nd -1.803 -4.043 9.852
Nd -0.608 -1.344 3.269
Tb -1.206 -2.694 6.561
Ho 0.000 0.000 0.000

Computed stability ranking, most favorable first: arrangement two, arrangement one

Arrangement one

4
Lattice="-1.190 -2.284 -5.134 -3.838 -4.251 -0.432 -5.096 0.972 -2.464" Properties=species:S:1:pos:R:3 comment="TbNd2Ho GGA-PBE optimized geometry" sg=Fm-3m magnetic_moment_mub_per_fu=0.0 pbc="T T T"
Tb 0.000 0.000 0.000
Nd -2.531 -1.391 -2.007
Nd -7.593 -4.172 -6.022
Ho -5.062 -2.782 -4.015

Arrangement two

4
Lattice="-0.508 -3.368 -3.751 4.051 -2.588 1.774 -3.095 -2.821 2.953" Properties=species:S:1:pos:R:3 comment="TbNd2Ho GGA-PBE optimized geometry" sg=P4/mmm magnetic_moment_mub_per_fu=0.0 pbc="T T T"
Nd -1.547 -1.411 1.476
Nd 2.026 -1.294 0.887
Tb 0.224 -4.388 0.488
Ho -0.254 -1.684 -1.876

Computed stability ranking, most favorable first: arrangement two, arrangement one

Arrangement one

7
Lattice="-1.574 -1.390 2.907 1.957 -0.762 2.907 -3.229 18.161 9.144" Properties=species:S:1:pos:R:3 comment="Tb4Nd2Ho GGA-PBE optimized geometry" sg=R-3m magnetic_moment_mub_per_fu=0.0 pbc="T T T"
Tb -1.787 10.048 6.048
Tb -0.342 1.923 2.946
Tb -2.504 14.086 12.013
Tb -1.059 5.961 8.911
Nd -2.145 12.066 9.030
Nd -0.701 3.943 5.929
Ho 0.000 0.000 0.000

Arrangement two

28
Lattice="-1.453 -2.836 -1.754 7.825 -9.426 8.762 -11.049 -2.525 13.232" Properties=species:S:1:pos:R:3 comment="Tb4Nd2Ho GGA-PBE optimized geometry" sg=C2/m magnetic_moment_mub_per_fu=0.0 pbc="T T T"
Tb -2.438 -10.668 11.726
Tb 0.948 -10.250 12.018
Tb -8.887 -4.221 14.184
Tb 1.025 -4.435 2.552
Tb -2.238 -4.119 8.514
Tb -5.624 -4.537 8.222
Tb 4.211 -10.567 6.056
Tb -5.701 -10.352 17.688
Tb -7.367 -1.916 9.198
Tb -0.496 -6.740 7.538
Tb -5.233 -10.816 14.280
Tb 3.743 -10.102 9.464
Tb 2.690 -12.871 11.042
Tb -4.180 -8.047 12.702
Tb 0.557 -3.971 5.960
Tb -8.420 -4.685 10.776
Nd -3.909 -13.437 17.422
Nd 2.419 -7.481 6.322
Nd -4.818 -4.797 11.745
Nd -3.045 -3.860 4.991
Nd -0.768 -1.350 2.818
Nd -7.095 -7.307 13.917
Nd 0.141 -9.991 8.495
Nd -1.631 -10.928 15.249
Ho -5.525 -1.262 6.616
Ho -2.338 -7.394 10.120
Ho 3.913 -4.713 4.381
Ho -0.726 -1.418 -0.877

Computed stability ranking, most favorable first: arrangement one, arrangement two